# Si2NiRuF, relaxed, DFT PBE with a Hubbard U
data_Si2NiRuF
_cell_length_a 4.2546
_cell_length_b 4.2546
_cell_length_c 3.7310
_cell_angle_alpha 90.00
_cell_angle_beta 90.00
_cell_angle_gamma 90.00
_symmetry_space_group_name_H-M 'P 4/m m m'
_symmetry_Int_Tables_number 123
_symmetry_space_group_name_Hall '-P 4 2'
loop_
_atom_site_label
_atom_site_type_symbol
_atom_site_fract_x
_atom_site_fract_y
_atom_site_fract_z
_atom_site_occupancy
Si1 Si 0.0000 0.5000 0.0000 1
Ni1 Ni 0.0000 0.0000 0.5000 1
Ru1 Ru 0.5000 0.5000 0.5000 1
F1 F 0.0000 0.0000 0.0000 1
# Energy, eV/atom: -4.5661